1.
Crystalline Sm3DyPb4 at its relaxed geometry, computed with PBE-GGA.

a = 6.4960 Å, b = 6.4973 Å, c = 11.2451 Å
α = 90.00°, β = 90.00°, γ = 90.00°
Element x y z (fractional)
Pb: 0.7498 0.0607 0.2496
Dy: 0.5009 0.3104 0.5000
Sm: 0.7496 0.5607 0.2499
Dy: 0.4991 0.8104 0.0000
Pb: 0.0006 0.3105 0.5000
Pb: 0.5003 0.8106 0.5000
Sm: 0.0001 0.8105 0.5000
Sm: 0.7496 0.5607 0.7501
Pb: 0.4997 0.3106 0.0000
Sm: 0.9999 0.3105 0.0000
Pb: 0.2502 0.5607 0.2504
Pb: 0.7498 0.0607 0.7504
Pb: 0.2502 0.5607 0.7496
Sm: 0.2504 0.0607 0.7499
Pb: 0.9994 0.8105 0.0000
Sm: 0.2504 0.0607 0.2501

Output
The total energy is -4.671 eV/atom. The crystal system is orthorhombic. The value obtained for the total moment is 0.00 μB per formula unit.



2.
Crystalline Sm4DyPb4 at its relaxed geometry, computed with PBE-GGA.

a = 6.4545 Å, b = 9.6050 Å, c = 9.6050 Å
α = 90.00°, β = 90.00°, γ = 90.00°
Element x y z (fractional)
Dy: 0.5000 0.5000 0.5000
Dy: 0.0000 0.0000 0.0000
Sm: 0.3785 0.7217 0.0826
Sm: 0.6215 0.0826 0.2783
Sm: 0.1215 0.7783 0.4174
Pb: 0.8716 0.2814 0.9016
Pb: 0.1284 0.9016 0.7186
Pb: 0.6284 0.7814 0.4016
Pb: 0.1284 0.0984 0.2814
Sm: 0.1215 0.2217 0.5826
Pb: 0.3716 0.4016 0.2186
Pb: 0.6284 0.2186 0.5984
Sm: 0.6215 0.9174 0.7217
Pb: 0.8716 0.7186 0.0984
Sm: 0.3785 0.2783 0.9174
Pb: 0.3716 0.5984 0.7814
Sm: 0.8785 0.5826 0.7783
Sm: 0.8785 0.4174 0.2217

Output
The total energy is -4.540 eV/atom. The crystal system is tetragonal. The value obtained for the total moment is 0.00 μB per formula unit.